This record from Alexandria describes Ni21Sn2P6 at its PBEsol-relaxed geometry. The functional is meta-GGA SCAN.

Cell: 7.754 7.754 7.754 Å, 60.00 60.00 60.00°
Sites, in units of the cell vectors:
Ni  0.000  0.000  0.000
Ni  0.000  0.000  0.348
Ni  0.000  0.000  0.652
Ni  0.000  0.348  0.000
Ni  0.000  0.348  0.652
Ni  0.000  0.652  0.000
Ni  0.000  0.652  0.348
Ni  0.151  0.616  0.616
Ni  0.348  0.000  0.000
Ni  0.348  0.000  0.652
Ni  0.348  0.652  0.000
Ni  0.384  0.384  0.384
Ni  0.384  0.384  0.849
Ni  0.384  0.849  0.384
Ni  0.616  0.151  0.616
Ni  0.616  0.616  0.151
Ni  0.616  0.616  0.616
Ni  0.652  0.000  0.000
Ni  0.652  0.000  0.348
Ni  0.652  0.348  0.000
Ni  0.849  0.384  0.384
Sn  0.250  0.250  0.250
Sn  0.750  0.750  0.750
P  0.262  0.262  0.738
P  0.262  0.738  0.262
P  0.262  0.738  0.738
P  0.738  0.262  0.262
P  0.738  0.262  0.738
P  0.738  0.738  0.262

## Properties
M_tot = 0.00 μB/f.u.
E_tot = -485.0 eV per cell
Calculated formation energy = -0.382 eV/atom

This record from Alexandria describes SrCd2Ru at its PBEsol-relaxed geometry. The functional is meta-GGA SCAN.

Cell: 5.332 5.332 5.332 Å, 131.63 131.63 70.81°
Sites, in units of the cell vectors:
Sr  0.000  0.000  0.000
Cd  0.250  0.750  0.500
Cd  0.750  0.250  0.500
Ru  0.500  0.500  0.000

## Properties
M_tot = 0.23 μB/f.u.
E_tot = -117.0 eV per cell
Calculated formation energy = 0.231 eV/atom

This record from Alexandria describes LiSi2Sb at its PBEsol-relaxed geometry. The functional is meta-GGA SCAN.

Cell: 2.979 2.979 7.950 Å, 90.00 90.00 90.00°
Sites, in units of the cell vectors:
Li  0.000  0.000  0.000
Si  0.500  0.500  0.213
Si  0.500  0.500  0.787
Sb  0.000  0.000  0.500

## Properties
M_tot = 0.00 μB/f.u.
E_tot = -57.8 eV per cell
Formation energy (no corrections) = 0.482 eV per atom

This record from Alexandria describes YZrIn2 at its PBEsol-relaxed geometry. The functional is meta-GGA SCAN.

Cell: 4.626 4.626 4.300 Å, 90.00 90.00 90.00°
Sites, in units of the cell vectors:
Y  0.000  0.000  0.000
Zr  0.500  0.500  0.000
In  0.000  0.500  0.500
In  0.500  0.000  0.500

## Properties
M_tot = 0.00 μB/f.u.
E_tot = -127.2 eV per cell
Calculated formation energy = -0.483 eV/atom

This record from Alexandria describes CdH2PtAu at its PBEsol-relaxed geometry. The functional is meta-GGA SCAN.

Cell: 3.631 3.631 5.645 Å, 90.00 90.00 90.00°
Sites, in units of the cell vectors:
Cd  0.000  0.000  0.000
H  0.000  0.500  0.500
H  0.500  0.000  0.500
Pt  0.500  0.500  0.000
Au  0.000  0.000  0.500

## Properties
M_tot = 0.00 μB/f.u.
E_tot = -174.5 eV per cell

This record from Alexandria describes WCSeBr2 at its PBEsol-relaxed geometry. The functional is meta-GGA SCAN.

Cell: 4.405 4.405 4.607 Å, 90.00 90.00 90.00°
Sites, in units of the cell vectors:
W  0.000  0.000  0.000
C  0.500  0.500  0.500
Se  0.500  0.500  0.000
Br  0.000  0.500  0.500
Br  0.500  0.000  0.500

## Properties
M_tot = 3.66 μB/f.u.
E_tot = -128.9 eV per cell
Formation energy (no corrections) = 1.982 eV per atom